(1)
Entry from Alexandria: a PBEsol-optimized structure of Mg2CoCuN (meta-GGA SCAN).

Calculated values
* theoretical density: 4.684 g cm⁻³
* ΔE_f (raw): -0.012 eV per atom
* uncorrected energy: -10.36 eV/atom

a b c (Å): 4.1756 4.1756 3.7637
angles (deg): 90.00 90.00 90.00
Last column: nearest neighbours and their distance in Å.
Fractional positions:
Mg: 0.0000 0.5000 0.0000  2 N 2.09
Mg: 0.5000 0.0000 0.0000  2 N 2.09
Co: 0.0000 0.0000 0.5000  8 Mg 2.81, 4 Cu 2.95
Cu: 0.5000 0.5000 0.5000  2 N 1.88
N: 0.5000 0.5000 0.0000  2 Cu 1.88, 4 Mg 2.09


(2)
Entry from Alexandria: a PBEsol-optimized structure of Mn2Pb2Se (meta-GGA SCAN).

Calculated values
* theoretical density: 9.895 g cm⁻³
* ΔE_f (raw): 0.641 eV per atom
* uncorrected energy: -40.99 eV/atom

a b c (Å): 10.3476 10.3476 10.3476
angles (deg): 162.40 162.40 24.99
Last column: nearest neighbours and their distance in Å.
Fractional positions:
Mn: 0.2500 0.7500 0.5000  4 Mn 2.24
Mn: 0.7500 0.2500 0.5000  4 Mn 2.24
Pb: 0.1295 0.1295 0.0000  4 Mn 2.90, 4 Pb 3.17
Pb: 0.8705 0.8705 0.0000  4 Mn 2.90, 4 Pb 3.17
Se: 0.5000 0.5000 0.0000  4 Se 3.17, 8 Pb 3.44


(3)
Entry from Alexandria: a PBEsol-optimized structure of Ag2PCl (meta-GGA SCAN).

Calculated values
* theoretical density: 6.701 g cm⁻³
* ΔE_f (raw): 0.617 eV per atom
* uncorrected energy: -19.66 eV/atom
* offset from the most stable computed form: 634.4 meV per atom

a b c (Å): 4.6242 4.6242 4.6242
angles (deg): 60.00 60.00 60.00
Last column: nearest neighbours and their distance in Å.
Fractional positions:
Ag: 0.0000 0.0000 0.0000  4 Cl 2.83, 4 Ag 2.83
Ag: 0.2500 0.2500 0.2500  4 P 2.83, 4 Ag 2.83
P: 0.5000 0.5000 0.5000  4 Cl 2.83, 4 Ag 2.83
Cl: 0.7500 0.7500 0.7500  4 Ag 2.83, 4 P 2.83


(4)
Entry from Alexandria: a PBEsol-optimized structure of Li2CoAg (meta-GGA SCAN).

Calculated values
* theoretical density: 5.214 g cm⁻³
* uncorrected energy: -13.19 eV/atom
* energy of formation from the pure elements: 0.1757 eV/atom

a b c (Å): 9.2954 9.2954 9.2954
angles (deg): 16.66 16.66 16.66
Last column: nearest neighbours and their distance in Å.
Fractional positions:
Li: 0.0000 0.0000 0.0000  6 Li 2.69, 3 Ag 2.73
Li: 0.2373 0.2373 0.2373  3 Co 2.58, 6 Li 2.69
Co: 0.4958 0.4958 0.4958  3 Li 2.58, 6 Co 2.69, 3 Ag 2.72
Ag: 0.7481 0.7481 0.7481  6 Ag 2.69, 3 Co 2.72, 3 Li 2.73


(5)
Entry from Alexandria: a PBEsol-optimized structure of Co2PPt (meta-GGA SCAN).

Calculated values
* theoretical density: 11.730 g cm⁻³
* uncorrected energy: -28.71 eV/atom
* energy of formation from the pure elements: 0.0915 eV/atom

a b c (Å): 7.8291 7.8291 7.8291
angles (deg): 19.91 19.91 19.91
Last column: nearest neighbours and their distance in Å.
Fractional positions:
Co: 0.0000 0.0000 0.0000  9 Co 2.48-2.71, 3 Pt 2.64
Co: 0.2497 0.2497 0.2497  3 P 2.22, 3 Co 2.48
P: 0.5147 0.5147 0.5147  3 Co 2.22
Pt: 0.7589 0.7589 0.7589  3 P 2.58, 3 Co 2.64, 6 Pt 2.71


(6)
Entry from Alexandria: a PBEsol-optimized structure of SbOsRh3 (meta-GGA SCAN).

Calculated values
* theoretical density: 10.118 g cm⁻³
* ΔE_f (raw): 1.847 eV per atom
* uncorrected energy: -40.24 eV/atom

a b c (Å): 4.6703 4.6703 4.6703
angles (deg): 90.00 90.00 90.00
Last column: nearest neighbours and their distance in Å.
Fractional positions:
Sb: 0.0000 0.0000 0.0000  6 Rh 2.34
Os: 0.5000 0.5000 0.5000  12 Rh 3.30
Rh: 0.0000 0.0000 0.5000  2 Sb 2.34
Rh: 0.0000 0.5000 0.0000  2 Sb 2.34
Rh: 0.5000 0.0000 0.0000  2 Sb 2.34


(7)
Entry from Alexandria: a PBEsol-optimized structure of TcPdPt2N (meta-GGA SCAN).

Calculated values
* theoretical density: 11.939 g cm⁻³
* ΔE_f (raw): 1.453 eV per atom
* uncorrected energy: -42.05 eV/atom

a b c (Å): 4.9341 4.9341 3.4768
angles (deg): 90.00 90.00 90.00
Last column: nearest neighbours and their distance in Å.
Fractional positions:
Tc: 0.0000 0.0000 0.0000  8 Pt 3.02
Pd: 0.5000 0.5000 0.5000  2 N 1.74
Pt: 0.0000 0.5000 0.5000  2 Pd 2.47
Pt: 0.5000 0.0000 0.5000  2 Pd 2.47
N: 0.5000 0.5000 0.0000  2 Pd 1.74


(8)
Entry from Alexandria: a PBEsol-optimized structure of Ba3As2 (meta-GGA SCAN).

Calculated values
* theoretical density: 5.045 g cm⁻³
* uncorrected energy: -33.03 eV/atom
* offset from the most stable computed form: 0.0 meV per atom
* energy of formation from the pure elements: -1.2219 eV/atom

a b c (Å): 5.5566 5.5566 6.9154
angles (deg): 90.00 90.00 120.00
Last column: nearest neighbours and their distance in Å.
Fractional positions:
Ba: 0.0000 0.0000 0.0000  6 As 3.53, 6 Ba 3.83
Ba: 0.3333 0.6667 0.6985  5 As 3.27-3.56
Ba: 0.6667 0.3333 0.3015  5 As 3.27-3.56
As: 0.3333 0.6667 0.2131  8 Ba 3.27-3.56
As: 0.6667 0.3333 0.7869  8 Ba 3.27-3.56


(9)
Entry from Alexandria: a PBEsol-optimized structure of As2RuCl (meta-GGA SCAN).

Calculated values
* theoretical density: 7.437 g cm⁻³
* ΔE_f (raw): 0.646 eV per atom
* uncorrected energy: -20.15 eV/atom
* offset from the most stable computed form: 737.1 meV per atom

a b c (Å): 4.4884 4.4884 4.4884
angles (deg): 60.00 60.00 60.00
Last column: nearest neighbours and their distance in Å.
Fractional positions:
As: 0.2500 0.2500 0.2500  4 Cl 2.75, 4 Ru 2.75
As: 0.7500 0.7500 0.7500  4 Ru 2.75, 4 Cl 2.75
Ru: 0.0000 0.0000 0.0000  8 As 2.75
Cl: 0.5000 0.5000 0.5000  8 As 2.75


(10)
Entry from Alexandria: a PBEsol-optimized structure of ZnSbIO2 (meta-GGA SCAN).

Calculated values
* theoretical density: 5.531 g cm⁻³
* ΔE_f (raw): -0.373 eV per atom
* uncorrected energy: -20.37 eV/atom

a b c (Å): 4.0302 4.0302 6.3967
angles (deg): 90.00 90.00 90.00
Last column: nearest neighbours and their distance in Å.
Fractional positions:
Zn: 0.0000 0.0000 0.0000  4 I 2.85
Sb: 0.5000 0.5000 0.5000  4 O 2.02
I: 0.5000 0.5000 0.0000  4 Zn 2.85
O: 0.0000 0.5000 0.5000  2 Sb 2.02
O: 0.5000 0.0000 0.5000  2 Sb 2.02


(11)
Entry from Alexandria: a PBEsol-optimized structure of CaRe3Cl (meta-GGA SCAN).

Calculated values
* theoretical density: 12.235 g cm⁻³
* ΔE_f (raw): 1.586 eV per atom
* uncorrected energy: -44.60 eV/atom

a b c (Å): 4.4152 4.4152 4.4152
angles (deg): 90.00 90.00 90.00
Last column: nearest neighbours and their distance in Å.
Fractional positions:
Ca: 0.0000 0.0000 0.0000  12 Re 3.12
Re: 0.0000 0.5000 0.5000  2 Cl 2.21
Re: 0.5000 0.0000 0.5000  2 Cl 2.21
Re: 0.5000 0.5000 0.0000  2 Cl 2.21
Cl: 0.5000 0.5000 0.5000  6 Re 2.21


(12)
Entry from Alexandria: a PBEsol-optimized structure of NaMgN2F (meta-GGA SCAN).

Calculated values
* theoretical density: 2.197 g cm⁻³
* ΔE_f (raw): 0.569 eV per atom
* uncorrected energy: -5.69 eV/atom

a b c (Å): 4.2716 4.2716 3.9056
angles (deg): 90.00 90.00 90.00
Last column: nearest neighbours and their distance in Å.
Fractional positions:
Na: 0.0000 0.0000 0.0000  2 F 1.95, 4 N 2.14
Mg: 0.5000 0.5000 0.5000  8 N 2.89, 4 F 3.02
N: 0.0000 0.5000 0.0000  2 Na 2.14
N: 0.5000 0.0000 0.0000  2 Na 2.14
F: 0.0000 0.0000 0.5000  2 Na 1.95